VASP calculation (PBE-GGA) on an optimized crystal structure of KMnCr2.

Values from the calculation:
Symmetry = Cm
DFT formation energy = 0.992 eV per atom
Offset from the most stable computed form = 226 meV per atom

Cell: 4.494 4.494 6.953 Å, 84.58 84.58 37.04°
Last column: magnetic moment on the atom in μB.
Positions (direct):
Cr  0.721  0.721  0.896  -0.06
K  0.503  0.503  0.495  -0.01
Mn  0.277  0.277  0.102  -0.50
Cr  0.999  0.999  0.006  0.80